! Rb2NbZn2O6, relaxed, DFT PBE; values from VASP
! Space-group type: R-3m
! Energy relative to the elements, uncorrected (kJ/mol of formula units): -1779
! M_tot (μB per formula unit): 1.1
! Fermi-level density of states (states/eV per cell): 6.33
&SYSTEM
  ibrav = 0, nat = 11, ntyp = 4
/
ATOMIC_SPECIES
Rb 85.47 Rb.upf
Nb 92.91 Nb.upf
Zn 65.41 Zn.upf
O 16.00 O.upf
CELL_PARAMETERS angstrom
3.0082 1.7368 5.9597
-3.0082 1.7368 5.9597
0.0000 -3.4735 5.9597
ATOMIC_POSITIONS angstrom
Rb 0.0000 0.0000 3.7644
Rb 0.0000 0.0000 14.1147
Nb 0.0000 0.0000 0.0000
Zn 0.0000 0.0000 7.1610
Zn 0.0000 0.0000 10.7180
O 0.0000 -1.8680 7.1811
O -1.6178 0.9340 7.1811
O -1.6178 -0.9340 10.6979
O 1.6178 0.9340 7.1811
O 1.6178 -0.9340 10.6979
O 0.0000 1.8681 10.6979